Version a
! GGA-PBE ReTeS2N, relaxed; values from VASP
&SYSTEM
  ibrav = 0, nat = 5, ntyp = 4
/
ATOMIC_SPECIES
Re 186.21 Re.upf
Te 127.60 Te.upf
S 32.06 S.upf
N 14.01 N.upf
CELL_PARAMETERS angstrom
5.102 0.000 0.000
0.000 5.102 0.000
0.000 0.000 3.896
ATOMIC_POSITIONS crystal
Re 0.000 0.000 0.000
Te 0.500 0.500 0.500
S 0.000 0.500 0.500
S 0.500 0.000 0.500
N 0.500 0.500 0.000
! M_tot	0.92	μB per atom
! DOS(E_F)	0.480	states/eV/atom
! symmetry	No. 123

Version b
! GGA-PBE ReTeS2N, relaxed; values from VASP
&SYSTEM
  ibrav = 0, nat = 5, ntyp = 4
/
ATOMIC_SPECIES
Re 186.21 Re.upf
Te 127.60 Te.upf
S 32.06 S.upf
N 14.01 N.upf
CELL_PARAMETERS angstrom
4.846 0.000 0.000
0.000 4.846 0.000
0.000 0.000 3.775
ATOMIC_POSITIONS crystal
Re 0.000 0.000 0.000
Te 0.500 0.500 0.500
S 0.000 0.500 0.000
S 0.500 0.000 0.000
N 0.000 0.000 0.500
! M_tot	0.00	μB per atom
! DOS(E_F)	0.624	states/eV/atom
! symmetry	No. 123

Least stable: version a

Version a
! GGA-PBE TlReSN2, relaxed; values from VASP
&SYSTEM
  ibrav = 0, nat = 5, ntyp = 4
/
ATOMIC_SPECIES
Tl 204.38 Tl.upf
Re 186.21 Re.upf
S 32.06 S.upf
N 14.01 N.upf
CELL_PARAMETERS angstrom
3.913 0.000 0.000
0.000 3.913 0.000
0.000 0.000 5.214
ATOMIC_POSITIONS crystal
Tl 0.000 0.000 0.000
Re 0.500 0.500 0.500
S 0.500 0.500 0.000
N 0.000 0.500 0.500
N 0.500 0.000 0.500
! M_tot	0.00	μB per atom
! DOS(E_F)	0.609	states/eV/atom
! symmetry	No. 123

Version b
! GGA-PBE TlReSN2, relaxed; values from VASP
&SYSTEM
  ibrav = 0, nat = 5, ntyp = 4
/
ATOMIC_SPECIES
Tl 204.38 Tl.upf
Re 186.21 Re.upf
S 32.06 S.upf
N 14.01 N.upf
CELL_PARAMETERS angstrom
4.159 0.000 0.000
0.000 4.159 0.000
0.000 0.000 5.644
ATOMIC_POSITIONS crystal
Tl 0.000 0.000 0.000
Re 0.500 0.500 0.500
S 0.000 0.000 0.500
N 0.000 0.500 0.000
N 0.500 0.000 0.000
! M_tot	0.45	μB per atom
! DOS(E_F)	0.668	states/eV/atom
! symmetry	No. 123

Least stable: version b

Version a
! GGA-PBE ReWSN2, relaxed; values from VASP
&SYSTEM
  ibrav = 0, nat = 5, ntyp = 4
/
ATOMIC_SPECIES
Re 186.21 Re.upf
W 183.84 W.upf
S 32.06 S.upf
N 14.01 N.upf
CELL_PARAMETERS angstrom
3.875 0.000 0.000
0.000 3.875 0.000
0.000 0.000 5.081
ATOMIC_POSITIONS crystal
Re 0.000 0.000 0.000
W 0.500 0.500 0.500
S 0.500 0.500 0.000
N 0.000 0.500 0.500
N 0.500 0.000 0.500
! M_tot	0.86	μB per atom
! DOS(E_F)	0.578	states/eV/atom
! symmetry	No. 123

Version b
! GGA-PBE ReWSN2, relaxed; values from VASP
&SYSTEM
  ibrav = 0, nat = 5, ntyp = 4
/
ATOMIC_SPECIES
Re 186.21 Re.upf
W 183.84 W.upf
S 32.06 S.upf
N 14.01 N.upf
CELL_PARAMETERS angstrom
3.811 0.000 0.000
0.000 3.811 0.000
0.000 0.000 5.098
ATOMIC_POSITIONS crystal
Re 0.000 0.000 0.000
W 0.500 0.500 0.500
S 0.000 0.000 0.500
N 0.000 0.500 0.000
N 0.500 0.000 0.000
! M_tot	0.63	μB per atom
! DOS(E_F)	0.641	states/eV/atom
! symmetry	No. 123

Least stable: version b